*P*
VASP calculation (PBE) on crystalline ZnCuReHg at its relaxed geometry.

Calculated values
Magnetic moment ... 0.38 μB per atom

Unit cell a=4.4759 b=4.4759 c=4.4759 alpha=60.00 beta=60.00 gamma=60.00
Closest atoms and distances in Å follow each position.
Fractional positions:
Cu1 0.7500 0.7500 0.7500  4 Hg 2.74, 4 Zn 2.74
Hg1 0.5000 0.5000 0.5000  4 Cu 2.74, 4 Re 2.74
Re1 0.2500 0.2500 0.2500  4 Hg 2.74, 4 Zn 2.74
Zn1 0.0000 0.0000 0.0000  4 Cu 2.74, 4 Re 2.74

*Q*
VASP calculation (PBE) on crystalline ZnCuReHg at its relaxed geometry.

Calculated values
Magnetic moment ... 0.44 μB per atom

Unit cell a=4.4839 b=4.4839 c=4.4839 alpha=60.00 beta=60.00 gamma=60.00
Closest atoms and distances in Å follow each position.
Fractional positions:
Cu1 0.7500 0.7500 0.7500  4 Re 2.75, 4 Zn 2.75
Hg1 0.2500 0.2500 0.2500  4 Re 2.75, 4 Zn 2.75
Re1 0.5000 0.5000 0.5000  4 Hg 2.75, 4 Cu 2.75
Zn1 0.0000 0.0000 0.0000  4 Hg 2.75, 4 Cu 2.75

Least stable of them? *Q*.

*P*
VASP calculation (PBE) on crystalline Cu2SiHgTe2S2 at its relaxed geometry.

Unit cell a=6.8456 b=6.8456 c=5.8609 alpha=113.43 beta=113.43 gamma=50.66
Closest atoms and distances in Å follow each position.
Fractional positions:
Cu1 0.7591 0.7391 0.2984  2 S 2.32
Cu2 0.2609 0.2409 0.7016  2 S 2.32
Hg1 0.0225 0.9775 0.0000  2 S 2.67, 2 Te 2.83
S1 0.4033 0.8530 0.4088  1 Si 2.19, 2 Cu 2.32
S2 0.1470 0.5967 0.5912  1 Si 2.19, 2 Cu 2.32
Si1 0.4655 0.5345 0.5000  2 S 2.19
Te1 0.5805 0.1388 0.1373  1 Si 2.55, 2 Cu 2.60-2.61, 1 Hg 2.83
Te2 0.8612 0.4195 0.8627  1 Si 2.55, 2 Cu 2.60-2.61, 1 Hg 2.83

*Q*
VASP calculation (PBE) on crystalline Cu2SiHgTe2S2 at its relaxed geometry.

Unit cell a=6.9297 b=6.9189 c=5.8957 alpha=64.90 beta=64.71 gamma=50.39
Closest atoms and distances in Å follow each position.
Fractional positions:
Cu1 0.2300 0.2300 0.2700  2 S 2.35, 2 Te 2.59
Cu2 0.7300 0.7300 0.7700  2 S 2.35, 2 Te 2.59
Hg1 0.0038 0.0038 0.9962  2 Te 2.76, 2 S 2.80
S1 0.8512 0.4237 0.1488  1 Si 2.17, 2 Cu 2.35
S2 0.4237 0.8512 0.5763  1 Si 2.17, 2 Cu 2.35
Si1 0.5247 0.5247 0.4753  2 S 2.17
Te1 0.1460 0.5906 0.4094  1 Si 2.54, 2 Cu 2.59, 1 Hg 2.76
Te2 0.5906 0.1460 0.8540  1 Si 2.54, 2 Cu 2.59, 1 Hg 2.76

Least stable of them? *Q*.

*P*
VASP calculation (PBE) on crystalline CuTcHgSb at its relaxed geometry.

Calculated values
Magnetic moment ... 0.51 μB per atom

Unit cell a=4.7454 b=4.7454 c=4.7454 alpha=60.00 beta=60.00 gamma=60.00
Closest atoms and distances in Å follow each position.
Fractional positions:
Cu1 0.7500 0.7500 0.7500  4 Sb 2.91, 4 Tc 2.91
Hg1 0.2500 0.2500 0.2500  4 Tc 2.91, 4 Sb 2.91
Sb1 0.0000 0.0000 0.0000  4 Cu 2.91, 4 Hg 2.91
Tc1 0.5000 0.5000 0.5000  4 Hg 2.91, 4 Cu 2.91

*Q*
VASP calculation (PBE) on crystalline CuTcHgSb at its relaxed geometry.

Calculated values
Magnetic moment ... 0.00 μB per atom

Unit cell a=4.6427 b=4.6427 c=4.6427 alpha=60.00 beta=60.00 gamma=60.00
Closest atoms and distances in Å follow each position.
Fractional positions:
Cu1 0.7500 0.7500 0.7500  4 Hg 2.84, 4 Sb 2.84
Hg1 0.5000 0.5000 0.5000  4 Cu 2.84, 4 Tc 2.84
Sb1 0.0000 0.0000 0.0000  4 Tc 2.84, 4 Cu 2.84
Tc1 0.2500 0.2500 0.2500  4 Sb 2.84, 4 Hg 2.84

Least stable of them? *P*.

*P*
VASP calculation (PBE) on crystalline CuHgSbW at its relaxed geometry.

Calculated values
Magnetic moment ... 0.00 μB per atom

Unit cell a=4.6973 b=4.6973 c=4.6973 alpha=60.00 beta=60.00 gamma=60.00
Closest atoms and distances in Å follow each position.
Fractional positions:
Cu1 0.7500 0.7500 0.7500  4 Sb 2.88, 4 Hg 2.88
Hg1 0.5000 0.5000 0.5000  4 W 2.88, 4 Cu 2.88
Sb1 0.0000 0.0000 0.0000  4 Cu 2.88, 4 W 2.88
W1 0.2500 0.2500 0.2500  4 Hg 2.88, 4 Sb 2.88

*Q*
VASP calculation (PBE) on crystalline CuHgSbW at its relaxed geometry.

Calculated values
Magnetic moment ... 0.65 μB per atom

Unit cell a=4.8112 b=4.8112 c=4.8112 alpha=60.00 beta=60.00 gamma=60.00
Closest atoms and distances in Å follow each position.
Fractional positions:
Cu1 0.7500 0.7500 0.7500  4 W 2.95, 4 Sb 2.95
Hg1 0.2500 0.2500 0.2500  4 W 2.95, 4 Sb 2.95
Sb1 0.0000 0.0000 0.0000  4 Hg 2.95, 4 Cu 2.95
W1 0.5000 0.5000 0.5000  4 Hg 2.95, 4 Cu 2.95

Least stable of them? *Q*.

*P*
VASP calculation (PBE) on crystalline ZrCuHgSb at its relaxed geometry.

Calculated values
Magnetic moment ... 0.00 μB per atom

Unit cell a=4.9164 b=4.9164 c=4.9164 alpha=60.00 beta=60.00 gamma=60.00
Closest atoms and distances in Å follow each position.
Fractional positions:
Cu1 0.7500 0.7500 0.7500  4 Sb 3.01, 4 Zr 3.01
Hg1 0.2500 0.2500 0.2500  4 Zr 3.01, 4 Sb 3.01
Sb1 0.0000 0.0000 0.0000  4 Cu 3.01, 4 Hg 3.01
Zr1 0.5000 0.5000 0.5000  4 Hg 3.01, 4 Cu 3.01

*Q*
VASP calculation (PBE) on crystalline ZrCuHgSb at its relaxed geometry.

Calculated values
Magnetic moment ... 0.12 μB per atom

Unit cell a=4.8916 b=4.8916 c=4.8916 alpha=60.00 beta=60.00 gamma=60.00
Closest atoms and distances in Å follow each position.
Fractional positions:
Cu1 0.7500 0.7500 0.7500  4 Sb 3.00, 4 Hg 3.00
Hg1 0.5000 0.5000 0.5000  4 Zr 3.00, 4 Cu 3.00
Sb1 0.0000 0.0000 0.0000  4 Zr 3.00, 4 Cu 3.00
Zr1 0.2500 0.2500 0.2500  4 Sb 3.00, 4 Hg 3.00

Least stable of them? *P*.

*P*
VASP calculation (PBE) on crystalline Sc2CuHg2 at its relaxed geometry.

Calculated values
Magnetic moment ... 0.18 μB per atom

Unit cell a=7.3482 b=7.3482 c=7.3482 alpha=147.79 beta=147.79 gamma=46.19
Closest atoms and distances in Å follow each position.
Fractional positions:
Cu1 0.0000 0.0000 0.0000  8 Sc 3.17
Hg1 0.7500 0.2500 0.5000  4 Hg 2.88, 4 Sc 2.90
Hg2 0.2500 0.7500 0.5000  4 Hg 2.88, 4 Sc 2.90
Sc1 0.4029 0.4029 0.0000  1 Sc 2.62, 4 Hg 2.90
Sc2 0.5971 0.5971 0.0000  1 Sc 2.62, 4 Hg 2.90

*Q*
VASP calculation (PBE) on crystalline Sc2CuHg2 at its relaxed geometry.

Calculated values
Magnetic moment ... 0.17 μB per atom

Unit cell a=7.1058 b=7.1058 c=7.1058 alpha=145.02 beta=145.02 gamma=50.31
Closest atoms and distances in Å follow each position.
Fractional positions:
Cu1 0.0000 0.0000 0.0000  8 Hg 3.30
Hg1 0.3974 0.3974 0.0000  1 Hg 2.64, 4 Sc 2.86
Hg2 0.6026 0.6026 0.0000  1 Hg 2.64, 4 Sc 2.86
Sc1 0.7500 0.2500 0.5000  4 Hg 2.86, 4 Sc 3.02
Sc2 0.2500 0.7500 0.5000  4 Hg 2.86, 4 Sc 3.02

Least stable of them? *Q*.

*P*
VASP calculation (PBE) on crystalline ScCuSnHg at its relaxed geometry.

Calculated values
Magnetic moment ... 0.00 μB per atom

Unit cell a=4.8375 b=4.8375 c=4.8375 alpha=60.00 beta=60.00 gamma=60.00
Closest atoms and distances in Å follow each position.
Fractional positions:
Cu1 0.7500 0.7500 0.7500  4 Hg 2.96, 4 Sn 2.96
Hg1 0.5000 0.5000 0.5000  4 Cu 2.96, 4 Sc 2.96
Sc1 0.2500 0.2500 0.2500  4 Hg 2.96, 4 Sn 2.96
Sn1 0.0000 0.0000 0.0000  4 Sc 2.96, 4 Cu 2.96

*Q*
VASP calculation (PBE) on crystalline ScCuSnHg at its relaxed geometry.

Calculated values
Magnetic moment ... 0.00 μB per atom

Unit cell a=4.8516 b=4.8516 c=4.8516 alpha=60.00 beta=60.00 gamma=60.00
Closest atoms and distances in Å follow each position.
Fractional positions:
Cu1 0.7500 0.7500 0.7500  4 Sn 2.97, 4 Sc 2.97
Hg1 0.2500 0.2500 0.2500  4 Sc 2.97, 4 Sn 2.97
Sc1 0.5000 0.5000 0.5000  4 Hg 2.97, 4 Cu 2.97
Sn1 0.0000 0.0000 0.0000  4 Cu 2.97, 4 Hg 2.97

Least stable of them? *Q*.

*P*
VASP calculation (PBE) on crystalline ScTlCuHg at its relaxed geometry.

Calculated values
Magnetic moment ... 0.00 μB per atom

Unit cell a=4.8646 b=4.8646 c=4.8646 alpha=60.00 beta=60.00 gamma=60.00
Closest atoms and distances in Å follow each position.
Fractional positions:
Cu1 0.7500 0.7500 0.7500  4 Sc 2.98, 4 Tl 2.98
Hg1 0.2500 0.2500 0.2500  4 Sc 2.98, 4 Tl 2.98
Sc1 0.5000 0.5000 0.5000  4 Cu 2.98, 4 Hg 2.98
Tl1 0.0000 0.0000 0.0000  4 Hg 2.98, 4 Cu 2.98

*Q*
VASP calculation (PBE) on crystalline ScTlCuHg at its relaxed geometry.

Calculated values
Magnetic moment ... 0.00 μB per atom

Unit cell a=4.8296 b=4.8296 c=4.8296 alpha=60.00 beta=60.00 gamma=60.00
Closest atoms and distances in Å follow each position.
Fractional positions:
Cu1 0.7500 0.7500 0.7500  4 Hg 2.96, 4 Tl 2.96
Hg1 0.5000 0.5000 0.5000  4 Cu 2.96, 4 Sc 2.96
Sc1 0.2500 0.2500 0.2500  4 Hg 2.96, 4 Tl 2.96
Tl1 0.0000 0.0000 0.0000  4 Cu 2.96, 4 Sc 2.96

Least stable of them? *P*.